[1]
Below is a relaxed structure of TeIr2Rh, with properties calculated at the PBE level.

Values from the calculation:
**Total magnetization**: 0.0 μB/cell
**Raw formation energy**: 0.3350 eV/atom

a = 4.7378 Å, b = 4.7378 Å, c = 4.9698 Å
α = 79.19°, β = 79.19°, γ = 37.17°
Sites, in units of the cell vectors:
Te1 0.2507 0.2507 0.2659
Ir1 0.0022 0.0022 0.9700
Ir2 0.7482 0.7482 0.7555
Rh1 0.4988 0.4988 0.5085

***

[2]
Below is a relaxed structure of CaSb2Rh2, with properties calculated at the PBE level.

Values from the calculation:
**Total magnetization**: 0.0 μB/cell
**Raw formation energy**: -0.4609 eV/atom

a = 7.7822 Å, b = 7.7822 Å, c = 3.3592 Å
α = 90.00°, β = 90.00°, γ = 90.00°
Sites, in units of the cell vectors:
Sb1 0.1562 0.6562 0.5000
Sb2 0.6562 0.8438 0.5000
Sb3 0.8438 0.3438 0.5000
Sb4 0.3438 0.1562 0.5000
Ca1 0.0000 0.0000 0.0000
Ca2 0.5000 0.5000 0.0000
Rh1 0.3697 0.8697 0.0000
Rh2 0.8697 0.6303 0.0000
Rh3 0.6303 0.1303 0.0000
Rh4 0.1303 0.3697 0.0000

***

[3]
Below is a relaxed structure of Sc3BiOs, with properties calculated at the PBE level.

Values from the calculation:
**DFT formation energy**: 1.23 eV per atom
**Energy relative to the lowest polymorph listed for this composition**: 680.6 kJ/mol of formula units
**Total magnetization**: 0.0 μB/cell

a = 5.2405 Å, b = 5.2405 Å, c = 5.2405 Å
α = 90.00°, β = 90.00°, γ = 90.00°
Sites, in units of the cell vectors:
Sc1 0.0000 0.5000 0.0000
Sc2 0.0000 0.0000 0.5000
Sc3 0.5000 0.0000 0.0000
Os1 0.5000 0.5000 0.5000
Bi1 0.0000 0.0000 0.0000

***

[4]
Below is a relaxed structure of Mg2As, with properties calculated at the PBE level.

Values from the calculation:
**DFT formation energy**: -0.17 eV per atom
**Total magnetization**: 0.0 μB/cell

a = 3.9815 Å, b = 3.9815 Å, c = 10.7020 Å
α = 90.00°, β = 90.00°, γ = 120.00°
Sites, in units of the cell vectors:
Mg1 0.6667 0.3333 0.3842
Mg2 0.3333 0.6667 0.8842
Mg3 0.3333 0.6667 0.6158
Mg4 0.6667 0.3333 0.1158
As1 0.0000 0.0000 0.2500
As2 0.0000 0.0000 0.7500